1.
The following is a PBE-GGA calculation of a relaxed Tb2DyMg crystal, from Alexandria.

a = 6.076 Å, b = 3.500 Å, c = 11.523 Å
α = 90.00°, β = 100.13°, γ = 90.00°
Space group Cm (No. 8)
Symmetry-distinct sites (fractional):
Tb1 0.000 0.000 0.000 x2
Tb2 0.164 0.000 0.493 x2
Dy1 0.082 0.500 0.746 x2
Mg1 0.249 0.500 0.246 x2

Output
Energy, eV/atom: -3.82
ΔE_f, eV/atom: 0.04

2.
The following is a PBE-GGA calculation of a relaxed TbDy3Mg3 crystal, from Alexandria.

a = 10.668 Å, b = 11.218 Å, c = 6.894 Å
α = 90.00°, β = 90.08°, γ = 90.00°
Space group C2/m (No. 12)
Symmetry-distinct sites (fractional):
Tb1 0.187 0.000 0.499 x4
Dy1 0.000 0.500 0.254 x4
Dy2 0.250 0.250 0.247 x8
Mg1 0.000 0.173 0.000 x4
Mg2 0.000 0.246 0.500 x4
Mg3 0.228 0.000 0.000 x4

Output
Energy, eV/atom: -3.23
ΔE_f, eV/atom: 0.08

3.
The following is a PBE-GGA calculation of a relaxed Tb2DyMg crystal, from Alexandria.

a = 7.788 Å, b = 7.788 Å, c = 7.788 Å
α = 90.00°, β = 90.00°, γ = 90.00°
Space group Fm-3m (No. 225)
Symmetry-distinct sites (fractional):
Tb1 0.250 0.250 0.250 x8
Dy1 0.000 0.000 0.000 x4
Mg1 0.000 0.000 0.500 x4

Output
Energy, eV/atom: -3.82
ΔE_f, eV/atom: 0.05

4.
The following is a PBE-GGA calculation of a relaxed TbDy2Mg2 crystal, from Alexandria.

a = 4.554 Å, b = 4.554 Å, c = 29.884 Å
α = 90.00°, β = 90.00°, γ = 90.00°
Space group I4/mmm (No. 139)
Symmetry-distinct sites (fractional):
Tb1 0.000 0.000 0.112 x4
Dy1 0.000 0.000 0.327 x4
Dy2 0.000 0.500 0.000 x4
Mg1 0.000 0.000 0.426 x4
Mg2 0.000 0.500 0.250 x4

Output
Energy, eV/atom: -3.11
ΔE_f, eV/atom: 0.30

5.
The following is a PBE-GGA calculation of a relaxed TbDy4Mg4 crystal, from Alexandria.

a = 6.923 Å, b = 6.923 Å, c = 11.442 Å
α = 90.00°, β = 90.00°, γ = 90.00°
Space group P4_2/nmc (No. 137, origin choice 2)
Symmetry-distinct sites (fractional):
Tb1 0.250 0.750 0.250 x2
Dy1 0.027 0.250 0.182 x8
Mg1 0.024 0.250 0.473 x8

Output
Energy, eV/atom: -3.01
ΔE_f, eV/atom: 0.26

6.
The following is a PBE-GGA calculation of a relaxed Tb3DyMg2 crystal, from Alexandria.

a = 3.693 Å, b = 3.693 Å, c = 12.732 Å
α = 90.00°, β = 90.00°, γ = 90.00°
Space group P4/mmm (No. 123)
Symmetry-distinct sites (fractional):
Tb1 0.000 0.000 0.000 x1
Tb2 0.000 0.000 0.310 x2
Dy1 0.500 0.500 0.500 x1
Mg1 0.500 0.500 0.154 x2

Output
Energy, eV/atom: -3.66
ΔE_f, eV/atom: -0.04

7.
The following is a PBE-GGA calculation of a relaxed Tb2Dy15Mg2 crystal, from Alexandria.

a = 11.1398 Å, b = 11.1398 Å, c = 17.0490 Å
α = 90.00°, β = 90.00°, γ = 120.00°
Space group R-3m (No. 166, hexagonal axes)
Symmetry-distinct sites (fractional):
Tb1 0.0000 0.0000 0.1750 x6
Dy1 0.0000 0.2972 0.5000 x18
Dy2 0.0000 0.5000 0.0000 x9
Dy3 0.0077 0.5039 0.6416 x18
Mg1 0.0000 0.0000 0.4069 x6

Output
Energy, eV/atom: -4.06
ΔE_f, eV/atom: 0.23

8.
The following is a PBE-GGA calculation of a relaxed Tb2DyMg2 crystal, from Alexandria.

a = 3.742 Å, b = 5.434 Å, c = 14.063 Å
α = 90.00°, β = 97.66°, γ = 90.00°
Space group P2_1/m (No. 11)
Symmetry-distinct sites (fractional):
Tb1 0.044 0.250 0.088 x2
Tb2 0.237 0.250 0.474 x2
Dy1 0.151 0.750 0.303 x2
Mg1 0.361 0.750 0.720 x2
Mg2 0.446 0.250 0.892 x2

Output
Energy, eV/atom: -3.48
ΔE_f, eV/atom: -0.07

9.
The following is a PBE-GGA calculation of a relaxed Tb5Dy3Mg crystal, from Alexandria.

a = 14.368 Å, b = 11.466 Å, c = 9.176 Å
α = 90.00°, β = 121.51°, γ = 90.00°
Space group C2/m (No. 12)
Symmetry-distinct sites (fractional):
Tb1 0.000 0.243 0.000 x4
Tb2 0.053 0.000 0.365 x4
Tb3 0.167 0.262 0.661 x8
Tb4 0.183 0.500 0.414 x4
Dy1 0.000 0.500 0.000 x2
Dy2 0.000 0.500 0.500 x2
Dy3 0.143 0.000 0.109 x4
Dy4 0.199 0.000 0.793 x4
Mg1 0.132 0.500 0.852 x4

Output
Energy, eV/atom: -3.67
ΔE_f, eV/atom: 0.61

10.
The following is a PBE-GGA calculation of a relaxed Tb3Dy5Mg crystal, from Alexandria.

a = 14.252 Å, b = 11.407 Å, c = 9.250 Å
α = 90.00°, β = 121.23°, γ = 90.00°
Space group C2/m (No. 12)
Symmetry-distinct sites (fractional):
Tb1 0.000 0.000 0.000 x2
Tb2 0.000 0.000 0.500 x2
Tb3 0.143 0.500 0.116 x4
Tb4 0.199 0.500 0.799 x4
Dy1 0.000 0.257 0.000 x4
Dy2 0.055 0.500 0.372 x4
Dy3 0.169 0.238 0.652 x8
Dy4 0.180 0.000 0.406 x4
Mg1 0.131 0.000 0.849 x4

Output
Energy, eV/atom: -3.65
ΔE_f, eV/atom: 0.63

11.
The following is a PBE-GGA calculation of a relaxed Tb3DyMg3 crystal, from Alexandria.

a = 10.676 Å, b = 11.217 Å, c = 6.929 Å
α = 90.00°, β = 90.06°, γ = 90.00°
Space group C2/m (No. 12)
Symmetry-distinct sites (fractional):
Tb1 0.000 0.000 0.246 x4
Tb2 0.250 0.250 0.253 x8
Dy1 0.188 0.500 0.999 x4
Mg1 0.000 0.255 0.000 x4
Mg2 0.000 0.326 0.500 x4
Mg3 0.228 0.500 0.500 x4

Output
Energy, eV/atom: -3.24
ΔE_f, eV/atom: 0.08

12.
The following is a PBE-GGA calculation of a relaxed Tb3Dy2Mg3 crystal, from Alexandria.

a = 3.760 Å, b = 5.438 Å, c = 22.369 Å
α = 90.00°, β = 90.00°, γ = 90.00°
Space group Immm (No. 71)
Symmetry-distinct sites (fractional):
Tb1 0.000 0.000 0.000 x2
Tb2 0.000 0.500 0.125 x4
Dy1 0.000 0.000 0.235 x4
Mg1 0.000 0.000 0.500 x2
Mg2 0.000 0.500 0.383 x4

Output
Energy, eV/atom: -3.54
ΔE_f, eV/atom: -0.06

13.
The following is a PBE-GGA calculation of a relaxed Tb5Dy4Mg2 crystal, from Alexandria.

a = 3.476 Å, b = 8.654 Å, c = 11.460 Å
α = 95.74°, β = 90.08°, γ = 101.50°
Space group P-1 (No. 2)
Symmetry-distinct sites (fractional):
Tb1 0.000 0.000 0.000 x1
Tb2 0.239 0.474 0.355 x2
Tb3 0.321 0.645 0.923 x2
Dy1 0.134 0.270 0.813 x2
Dy2 0.461 0.922 0.714 x2
Mg1 0.085 0.180 0.539 x2

Output
Energy, eV/atom: -4.04
ΔE_f, eV/atom: 0.03

14.
The following is a PBE-GGA calculation of a relaxed Tb7Dy3Mg crystal, from Alexandria.

a = 6.9897 Å, b = 6.9897 Å, c = 8.5531 Å
α = 90.00°, β = 90.00°, γ = 120.00°
Space group P3m1 (No. 156)
Symmetry-distinct sites (fractional):
Tb1 0.0000 0.0000 0.0000 x1
Tb2 0.1639 0.3277 0.6691 x3
Tb3 0.5003 0.0006 0.9977 x3
Dy1 0.3302 0.1651 0.3315 x3
Mg1 0.6667 0.3333 0.6699 x1

Output
Energy, eV/atom: -4.16
ΔE_f, eV/atom: 0.19

15.
The following is a PBE-GGA calculation of a relaxed Tb4Dy3Mg2 crystal, from Alexandria.

a = 14.833 Å, b = 4.942 Å, c = 7.791 Å
α = 90.00°, β = 108.67°, γ = 90.00°
Space group C2/m (No. 12)
Symmetry-distinct sites (fractional):
Tb1 0.055 0.000 0.333 x4
Tb2 0.222 0.500 0.330 x4
Dy1 0.000 0.500 0.000 x2
Dy2 0.112 0.500 0.667 x4
Mg1 0.169 0.000 0.999 x4

Output
Energy, eV/atom: -3.94
ΔE_f, eV/atom: 0.01

16.
The following is a PBE-GGA calculation of a relaxed TbDyMg crystal, from Alexandria.

a = 3.426 Å, b = 5.398 Å, c = 9.489 Å
α = 90.00°, β = 90.03°, γ = 90.00°
Space group P2_1 (No. 4)
Symmetry-distinct sites (fractional):
Tb1 0.002 0.000 0.084 x2
Dy1 0.500 0.000 0.744 x2
Mg1 0.001 0.502 0.580 x2

Output
Energy, eV/atom: -3.60
ΔE_f, eV/atom: 0.01

17.
The following is a PBE-GGA calculation of a relaxed Tb6Dy4Mg crystal, from Alexandria.

a = 6.479 Å, b = 6.479 Å, c = 17.041 Å
α = 90.00°, β = 90.00°, γ = 90.00°
Space group I-42m (No. 121)
Symmetry-distinct sites (fractional):
Tb1 0.000 0.500 0.000 x4
Tb2 0.184 0.184 0.172 x8
Dy1 0.175 0.175 0.367 x8
Mg1 0.000 0.000 0.000 x2

Output
Energy, eV/atom: -4.06
ΔE_f, eV/atom: 0.28

18.
The following is a PBE-GGA calculation of a relaxed TbDy7Mg4 crystal, from Alexandria.

a = 15.063 Å, b = 5.729 Å, c = 9.662 Å
α = 90.00°, β = 121.70°, γ = 90.00°
Space group C2/m (No. 12)
Symmetry-distinct sites (fractional):
Tb1 0.000 0.000 0.000 x2
Dy1 0.000 0.500 0.000 x2
Dy2 0.080 0.000 0.425 x4
Dy3 0.202 0.000 0.878 x4
Dy4 0.249 0.500 0.711 x4
Mg1 0.042 0.500 0.698 x4
Mg2 0.175 0.500 0.346 x4

Output
Energy, eV/atom: -3.43
ΔE_f, eV/atom: 0.17

19.
The following is a PBE-GGA calculation of a relaxed Tb6DyMg2 crystal, from Alexandria.

a = 12.934 Å, b = 11.615 Å, c = 8.841 Å
α = 90.00°, β = 125.05°, γ = 90.00°
Space group C2/c (No. 15)
Symmetry-distinct sites (fractional):
Tb1 0.041 0.127 0.468 x8
Tb2 0.109 0.412 0.190 x8
Tb3 0.228 0.344 0.639 x8
Dy1 0.000 0.325 0.750 x4
Mg1 0.187 0.103 0.929 x8

Output
Energy, eV/atom: -3.89
ΔE_f, eV/atom: 0.06

20.
The following is a PBE-GGA calculation of a relaxed Tb3Dy6Mg crystal, from Alexandria.

a = 11.093 Å, b = 5.002 Å, c = 11.154 Å
α = 90.00°, β = 90.30°, γ = 90.00°
Space group P2_1/m (No. 11)
Symmetry-distinct sites (fractional):
Tb1 0.051 0.250 0.400 x2
Tb2 0.151 0.750 0.204 x2
Tb3 0.252 0.250 0.003 x2
Dy1 0.052 0.750 0.898 x2
Dy2 0.153 0.250 0.700 x2
Dy3 0.254 0.750 0.501 x2
Dy4 0.350 0.750 0.803 x2
Dy5 0.352 0.250 0.305 x2
Dy6 0.452 0.750 0.101 x2
Mg1 0.452 0.250 0.599 x2

Output
Energy, eV/atom: -4.29
ΔE_f, eV/atom: 0.02